[1]
This record from the Alexandria database describes a geometry-optimized MoSeBrN2 structure. The functional is PBE-GGA.

a b c (Å): 4.018 4.018 5.083
angles (deg): 90.00 90.00 90.00
Space group P4/mmm (No. 123)
Asymmetric unit:
Mo1 0.000 0.000 0.000 (multiplicity 1)
Se1 0.500 0.500 0.000 (multiplicity 1)
Br1 0.500 0.500 0.500 (multiplicity 1)
N1 0.000 0.500 0.500 (multiplicity 2)

Summary:
- E_form (uncorrected) (eV/atom) = 2.34
- ρ (Mg/m³) = 5.7
- M_tot (μB per formula unit) = 2.18
- total energy (eV per atom) = -4.18
- polymorph energy (0 for the lowest one) (meV per atom) = 1797.6

=====

[2]
This record from the Alexandria database describes a geometry-optimized Ba3Y3HoS8 structure. The functional is PBE-GGA.

a b c (Å): 14.048 8.103 8.643
angles (deg): 90.00 122.81 90.00
Space group C2/m (No. 12)
Asymmetric unit:
Ba1 0.000 0.000 0.000 (multiplicity 2)
Ba2 0.250 0.250 0.000 (multiplicity 4)
Y1 0.000 0.500 0.500 (multiplicity 2)
Y2 0.250 0.250 0.500 (multiplicity 4)
Ho1 0.000 0.000 0.500 (multiplicity 2)
S1 0.014 0.249 0.294 (multiplicity 8)
S2 0.235 0.000 0.706 (multiplicity 4)
S3 0.237 0.500 0.711 (multiplicity 4)

Summary:
- E_form (uncorrected) (eV/atom) = -2.07
- ρ (Mg/m³) = 4.4
- M_tot (μB per formula unit) = 0.00
- total energy (eV per atom) = -6.25

=====

[3]
This record from the Alexandria database describes a geometry-optimized Nd4Te2AsI structure. The functional is PBE-GGA.

a b c (Å): 7.686 4.401 7.857
angles (deg): 90.00 108.80 90.00
Space group P2/m (No. 10)
Asymmetric unit:
Nd1 0.227 0.000 0.216 (multiplicity 2)
Nd2 0.244 0.500 0.782 (multiplicity 2)
Te1 0.500 0.000 0.000 (multiplicity 1)
Te2 0.500 0.500 0.500 (multiplicity 1)
As1 0.000 0.500 0.000 (multiplicity 1)
I1 0.000 0.000 0.500 (multiplicity 1)

Summary:
- E_form (uncorrected) (eV/atom) = -1.32
- ρ (Mg/m³) = 6.8
- M_tot (μB per formula unit) = 0.00
- total energy (eV per atom) = -5.26

=====

[4]
This record from the Alexandria database describes a geometry-optimized AcCeTlO6 structure. The functional is PBE-GGA.

a b c (Å): 6.0585 6.0585 4.7930
angles (deg): 90.00 90.00 120.00
Space group P312 (No. 149)
Asymmetric unit:
Ac1 0.0000 0.0000 0.0000 (multiplicity 1)
Ce1 0.3333 0.6667 0.5000 (multiplicity 1)
Tl1 0.6667 0.3333 0.0000 (multiplicity 1)
O1 0.0048 0.3613 0.7494 (multiplicity 6)

Summary:
- E_form (uncorrected) (eV/atom) = -1.89
- ρ (Mg/m³) = 7.3
- M_tot (μB per formula unit) = 2.05
- total energy (eV per atom) = -6.58

=====

[5]
This record from the Alexandria database describes a geometry-optimized AcSmDy4Er2 structure. The functional is PBE-GGA.

a b c (Å): 5.086 5.112 10.158
angles (deg): 90.00 90.00 90.00
Space group Pmmm (No. 47)
Asymmetric unit:
Ac1 0.000 0.000 0.000 (multiplicity 1)
Sm1 0.500 0.500 0.500 (multiplicity 1)
Dy1 0.000 0.500 0.257 (multiplicity 2)
Dy2 0.500 0.000 0.258 (multiplicity 2)
Er1 0.000 0.000 0.500 (multiplicity 1)
Er2 0.500 0.500 0.000 (multiplicity 1)

Summary:
- ρ (Mg/m³) = 8.6
- M_tot (μB per formula unit) = 0.00
- total energy (eV per atom) = -4.50

=====

[6]
This record from the Alexandria database describes a geometry-optimized CsMgOsPd2 structure. The functional is PBE-GGA.

a b c (Å): 4.997 4.997 5.588
angles (deg): 90.00 90.00 90.00
Space group P4/mmm (No. 123)
Asymmetric unit:
Cs1 0.000 0.000 0.000 (multiplicity 1)
Mg1 0.500 0.500 0.000 (multiplicity 1)
Os1 0.000 0.000 0.500 (multiplicity 1)
Pd1 0.000 0.500 0.500 (multiplicity 2)

Summary:
- ρ (Mg/m³) = 6.7
- M_tot (μB per formula unit) = 0.00
- total energy (eV per atom) = -3.57

=====

[7]
This record from the Alexandria database describes a geometry-optimized YMnSi2 structure. The functional is PBE-GGA.

a b c (Å): 3.737 3.967 9.834
angles (deg): 90.00 90.00 90.00
Space group Amm2 (No. 38)
Asymmetric unit:
Y1 0.000 0.000 0.000 (multiplicity 2)
Mn1 0.500 0.000 0.277 (multiplicity 2)
Si1 0.000 0.000 0.724 (multiplicity 2)
Si2 0.500 0.000 0.566 (multiplicity 2)

Summary:
- E_form (uncorrected) (eV/atom) = -0.31
- ρ (Mg/m³) = 4.6
- M_tot (μB per formula unit) = 3.19
- total energy (eV per atom) = -6.93

=====

[8]
This record from the Alexandria database describes a geometry-optimized Pm12Si2Ir5 structure. The functional is PBE-GGA.

a b c (Å): 16.683 7.117 9.192
angles (deg): 90.00 103.23 90.00
Space group C2/m (No. 12)
Asymmetric unit:
Pm1 0.007 0.000 0.292 (multiplicity 4)
Pm2 0.022 0.500 0.810 (multiplicity 4)
Pm3 0.154 0.258 0.571 (multiplicity 8)
Pm4 0.179 0.245 0.110 (multiplicity 8)
Si1 0.000 0.170 0.000 (multiplicity 4)
Ir1 0.000 0.500 0.500 (multiplicity 2)
Ir2 0.174 0.000 0.838 (multiplicity 4)
Ir3 0.198 0.000 0.362 (multiplicity 4)

Summary:
- E_form (uncorrected) (eV/atom) = -0.47
- ρ (Mg/m³) = 8.6
- M_tot (μB per formula unit) = 0.00
- total energy (eV per atom) = -6.38

=====

[9]
This record from the Alexandria database describes a geometry-optimized Ho2PdBr structure. The functional is PBE-GGA.

a b c (Å): 4.0591 4.0591 23.1007
angles (deg): 90.00 90.00 120.00
Space group R3m (No. 160, hexagonal axes)
Asymmetric unit:
Ho1 0.0000 0.0000 0.0000 (multiplicity 3)
Ho2 0.0000 0.0000 0.2052 (multiplicity 3)
Pd1 0.0000 0.0000 0.6024 (multiplicity 3)
Br1 0.0000 0.0000 0.4317 (multiplicity 3)

Summary:
- E_form (uncorrected) (eV/atom) = -0.96
- ρ (Mg/m³) = 7.8
- M_tot (μB per formula unit) = 0.00
- total energy (eV per atom) = -4.97
- polymorph energy (0 for the lowest one) (meV per atom) = 0.0

=====

[10]
This record from the Alexandria database describes a geometry-optimized Li3Tb2ZnCu12 structure. The functional is PBE-GGA.

a b c (Å): 8.6457 8.6457 12.5067
angles (deg): 90.00 90.00 120.00
Space group R-3m (No. 166, hexagonal axes)
Asymmetric unit:
Li1 0.0000 0.5000 0.0000 (multiplicity 9)
Tb1 0.0000 0.0000 0.2134 (multiplicity 6)
Zn1 0.0000 0.0000 0.5000 (multiplicity 3)
Cu1 0.0188 0.5094 0.2102 (multiplicity 18)
Cu2 0.0469 0.5234 0.5998 (multiplicity 18)

Summary:
- ρ (Mg/m³) = 7.2
- M_tot (μB per formula unit) = 0.00
- total energy (eV per atom) = -3.62

=====

[11]
This record from the Alexandria database describes a geometry-optimized CeAl4Pt2Au structure. The functional is PBE-GGA.

a b c (Å): 4.2898 4.2898 27.6669
angles (deg): 90.00 90.00 120.00
Space group R-3m (No. 166, hexagonal axes)
Asymmetric unit:
Ce1 0.0000 0.0000 0.0000 (multiplicity 3)
Al1 0.0000 0.0000 0.1245 (multiplicity 6)
Al2 0.0000 0.0000 0.4028 (multiplicity 6)
Pt1 0.0000 0.0000 0.2483 (multiplicity 6)
Au1 0.0000 0.0000 0.5000 (multiplicity 3)

Summary:
- ρ (Mg/m³) = 9.4
- M_tot (μB per formula unit) = 0.70
- total energy (eV per atom) = -5.27

=====

[12]
This record from the Alexandria database describes a geometry-optimized BaSr2LaPd structure. The functional is PBE-GGA.

a b c (Å): 6.029 6.029 6.203
angles (deg): 90.00 90.00 90.00
Space group P4/mmm (No. 123)
Asymmetric unit:
Ba1 0.000 0.000 0.000 (multiplicity 1)
Sr1 0.000 0.500 0.500 (multiplicity 2)
La1 0.500 0.500 0.000 (multiplicity 1)
Pd1 0.000 0.000 0.500 (multiplicity 1)

Summary:
- ρ (Mg/m³) = 4.1
- M_tot (μB per formula unit) = 0.43
- total energy (eV per atom) = -3.13
- polymorph energy (0 for the lowest one) (meV per atom) = 196.7